Below is an optimized crystal structure of La2ZnNiAg, with properties calculated at the GGA-PBE level.

Computed properties:
symmetry	P4/mmm, No. 123
excess energy over the best structure of this formula in the dataset	730	meV/atom
E_form	0.39	eV/atom
total DFT energy (no corrections)	-0.2616	Ry per atom
V	30.61	A^3/atom

a = 5.7266 Å, b = 4.6666 Å, c = 5.7266 Å
α = 90.00°, β = 90.00°, γ = 90.00°
Last column: nearest neighbours and their distance in Å.
Positions (direct):
La1 0.5000 0.0000 0.0000  2 Ag 2.86
La2 0.0000 0.0000 0.5000  2 Ag 2.86
Ag1 0.0000 0.0000 0.0000  2 Ni 2.33
Zn1 0.5000 0.5000 0.5000  8 La 3.69, 4 Ni 4.05
Ni1 0.0000 0.5000 0.0000  2 Ag 2.33

=====

Below is an optimized crystal structure of LaZn2NiAg, with properties calculated at the GGA-PBE level.

Computed properties:
symmetry	P4/mmm, No. 123
E_form	-0.12	eV/atom
total DFT energy (no corrections)	-0.2455	Ry per atom
V	21.00	A^3/atom

a = 4.5969 Å, b = 4.5969 Å, c = 4.9702 Å
α = 90.00°, β = 90.00°, γ = 90.00°
Last column: nearest neighbours and their distance in Å.
Positions (direct):
Ni1 0.0000 0.0000 0.0000  4 Zn 2.30, 2 Ag 2.49
La1 0.5000 0.5000 0.5000  4 Ag 3.25, 8 Zn 3.39
Zn1 0.0000 0.5000 0.0000  2 Ni 2.30
Ag1 0.0000 0.0000 0.5000  2 Ni 2.49
Zn2 0.5000 0.0000 0.0000  2 Ni 2.30

=====

Below is an optimized crystal structure of La2ZnNiAg, with properties calculated at the GGA-PBE level.

Computed properties:
symmetry	P4/mmm, No. 123
excess energy over the best structure of this formula in the dataset	136	meV/atom
E_form	-0.20	eV/atom
total DFT energy (no corrections)	-0.3053	Ry per atom
V	26.54	A^3/atom

a = 5.3667 Å, b = 5.3667 Å, c = 4.6065 Å
α = 90.00°, β = 90.00°, γ = 90.00°
Last column: nearest neighbours and their distance in Å.
Positions (direct):
La1 0.0000 0.5000 0.0000  2 Ni 2.68
Zn1 0.0000 0.0000 0.5000  2 Ni 2.30
Ni1 0.0000 0.0000 0.0000  2 Zn 2.30
Ag1 0.5000 0.5000 0.5000  8 La 3.54, 4 Zn 3.79
La2 0.5000 0.0000 0.0000  2 Ni 2.68